Here is a geometry-optimized YEr2Au4 structure from the Alexandria database. Energies are from PBE.

a = 6.077 Å, b = 6.077 Å, c = 6.077 Å
α = 109.15°, β = 109.15°, γ = 110.11°
Sites, in units of the cell vectors:
Y  0.000  0.000  0.000
Er  0.000  0.500  0.500
Er  0.500  0.000  0.500
Au  0.000  0.000  0.500
Au  0.000  0.500  0.000
Au  0.500  0.000  0.000
Au  0.500  0.500  0.500

- total magnetic moment (μB per atom) = 0.0001
- Fermi-level density of states (states/eV per atom) = 0.6811
- formation enthalpy at 0 K (eV per atom) = -0.680